<w>
First-principles (PBE) data for a geometry-optimized LiAcAl3 structure, as listed in Alexandria.

```
LiAcAl3
1.0
4.4260 0.0000 0.0000
0.0000 8.6992 0.0000
0.0000 0.0000 11.5283
Ac Al Li
4 12 4
direct
0.2500 0.6858 0.4994
0.7500 0.3142 0.5006
0.7500 0.8142 0.9994
0.2500 0.1858 0.0006
0.2500 0.3722 0.7222
0.7500 0.1276 0.7821
0.7500 0.4130 0.8772
0.2500 0.8722 0.7778
0.7500 0.6276 0.7179
0.7500 0.6278 0.2778
0.2500 0.0870 0.3772
0.7500 0.1278 0.2222
0.2500 0.5870 0.1228
0.2500 0.3724 0.2821
0.7500 0.9130 0.6228
0.2500 0.8724 0.2179
0.2500 0.0868 0.6211
0.7500 0.4132 0.1211
0.7500 0.9132 0.3789
0.2500 0.5868 0.8789
```

Calculated values
crystal system: orthorhombic
total moment: 0.000 μB per cell
ρ: 4.7 g cm⁻³
N(E_F): 8.65 states/eV/cell

=====

<x>
First-principles (PBE) data for a geometry-optimized LiAcAl3 structure, as listed in Alexandria.

```
LiAcAl3
1.0
4.4691 0.0000 0.0000
0.0000 4.5255 0.0000
0.0000 -2.2628 12.6343
Al Ac Li
6 2 2
direct
0.2500 0.3693 0.7385
0.7500 0.6307 0.2615
0.7500 0.5262 0.0525
0.7500 0.3154 0.6309
0.2500 0.4738 0.9475
0.2500 0.6846 0.3691
0.7500 0.9213 0.8425
0.2500 0.0787 0.1575
0.7500 0.2035 0.4069
0.2500 0.7965 0.5931
```

Calculated values
crystal system: orthorhombic
total moment: 0.000 μB per cell
ρ: 4.1 g cm⁻³
N(E_F): 4.93 states/eV/cell

=====

Stability ranking, top and bottom: <w> is the most stable and <x> is the least stable.

=====

<w>
First-principles (PBE) data for a geometry-optimized AcLu2Al structure, as listed in Alexandria.

```
AcLu2Al
1.0
-0.0931 -2.4973 -4.2638
4.5031 -1.6523 0.8695
-1.8649 -3.8686 2.3066
Ac Lu Al
1 2 1
direct
0.5000 0.5000 0.5000
0.0000 0.0000 0.5000
0.0000 0.5000 0.0000
0.5000 0.0000 0.0000
```

Calculated values
crystal system: tetragonal
total moment: 0.000 μB per cell
ρ: 8.5 g cm⁻³
N(E_F): 5.95 states/eV/cell

=====

<x>
First-principles (PBE) data for a geometry-optimized AcLu2Al structure, as listed in Alexandria.

```
AcLu2Al
1.0
3.5806 0.0000 0.0000
0.0000 3.5806 0.0000
0.0000 0.0000 9.1499
Lu Al Ac
2 1 1
direct
0.0000 0.0000 0.8039
0.0000 0.0000 0.1961
0.5000 0.5000 0.0000
0.5000 0.5000 0.5000
```

Calculated values
crystal system: tetragonal
total moment: 0.000 μB per cell
ρ: 8.5 g cm⁻³
N(E_F): 2.62 states/eV/cell

=====

Stability ranking, top and bottom: <x> is the most stable and <w> is the least stable.

=====

<w>
First-principles (PBE) data for a geometry-optimized AcLu2Al structure, as listed in Alexandria.

```
AcLu2Al
1.0
5.4523 0.0000 0.0000
2.7261 4.7218 0.0000
2.7261 1.5739 4.4518
Al Ac Lu
1 1 2
direct
0.5000 0.5000 0.5000
0.0000 0.0000 0.0000
0.7500 0.7500 0.7500
0.2500 0.2500 0.2500
```

Calculated values
crystal system: cubic
total moment: 1.100 μB per cell
ρ: 8.7 g cm⁻³
N(E_F): 6.70 states/eV/cell

=====

<x>
First-principles (PBE) data for a geometry-optimized AcLu2Al structure, as listed in Alexandria.

```
AcLu2Al
1.0
3.5364 0.0000 0.0000
1.7682 3.0626 0.0000
1.7682 1.0209 11.4722
Lu Al Ac
2 1 1
direct
0.8969 0.8969 0.3094
0.1031 0.1031 0.6906
0.5000 0.5000 0.5000
0.0000 0.0000 0.0000
```

Calculated values
crystal system: trigonal
total moment: 0.001 μB per cell
ρ: 8.1 g cm⁻³
N(E_F): 4.42 states/eV/cell

=====

Stability ranking, top and bottom: <x> is the most stable and <w> is the least stable.

=====

<w>
First-principles (PBE) data for a geometry-optimized AcMg2Al structure, as listed in Alexandria.

```
AcMg2Al
1.0
-3.9723 4.2860 2.3171
-4.8806 -5.5781 1.9508
8.0199 -1.3411 16.2297
Ac Mg Al
8 16 8
direct
0.4777 0.2500 0.1469
0.9777 0.7500 0.3531
0.7208 0.2500 0.3955
0.2208 0.7500 0.1045
0.7792 0.2500 0.8955
0.2792 0.7500 0.6045
0.0223 0.2500 0.6469
0.5223 0.7500 0.8531
0.2666 0.0559 0.9662
0.7334 0.5559 0.0338
0.5401 0.4428 0.7159
0.0401 0.9428 0.7841
0.9599 0.4428 0.2159
0.2334 0.4441 0.4662
0.4599 0.9428 0.2841
0.5401 0.0572 0.7159
0.2666 0.4441 0.9662
0.9599 0.0572 0.2159
0.4599 0.5572 0.2841
0.0401 0.5572 0.7841
0.7666 0.9441 0.5338
0.7666 0.5559 0.5338
0.2334 0.0559 0.4662
0.7334 0.9441 0.0338
0.5085 0.2500 0.5738
0.7862 0.7500 0.6741
0.7138 0.7500 0.1741
0.9915 0.2500 0.0738
0.4915 0.7500 0.4262
0.2862 0.2500 0.8259
0.2138 0.2500 0.3259
0.0085 0.7500 0.9262
```

Calculated values
crystal system: orthorhombic
total moment: 0.000 μB per cell
ρ: 4.6 g cm⁻³
N(E_F): 15.14 states/eV/cell

=====

<x>
First-principles (PBE) data for a geometry-optimized AcMg2Al structure, as listed in Alexandria.

```
AcMg2Al
1.0
-1.7569 -0.3742 3.1317
2.0999 -2.8136 0.8419
5.4286 5.1470 3.6605
Mg Al Ac
2 1 1
direct
0.0000 0.0000 0.1929
0.0000 0.0000 0.8071
0.5000 0.5000 0.0000
0.5000 0.5000 0.5000
```

Calculated values
crystal system: tetragonal
total moment: 0.000 μB per cell
ρ: 4.6 g cm⁻³
N(E_F): 2.89 states/eV/cell

=====

Stability ranking, top and bottom: <w> is the most stable and <x> is the least stable.

=====

<w>
First-principles (PBE) data for a geometry-optimized AcMg2Al structure, as listed in Alexandria.

```
AcMg2Al
1.0
-4.8171 0.6893 -0.7891
1.1805 -3.7034 4.9568
0.1317 6.1155 4.5378
Ac Mg Al
2 4 2
direct
0.9156 0.8312 0.2500
0.0844 0.1688 0.7500
0.6343 0.2685 0.0563
0.3657 0.7315 0.5563
0.3657 0.7315 0.9437
0.6343 0.2685 0.4437
0.2052 0.4105 0.2500
0.7948 0.5895 0.7500
```

Calculated values
crystal system: orthorhombic
total moment: 0.000 μB per cell
ρ: 4.6 g cm⁻³
N(E_F): 1.59 states/eV/cell

=====

<x>
First-principles (PBE) data for a geometry-optimized AcMg2Al structure, as listed in Alexandria.

```
AcMg2Al
1.0
5.2794 0.0000 0.0000
2.6397 4.5721 0.0000
2.6397 1.5240 4.3106
Ac Mg Al
1 2 1
direct
0.5000 0.5000 0.5000
0.7500 0.7500 0.7500
0.2500 0.2500 0.2500
0.0000 0.0000 0.0000
```

Calculated values
crystal system: cubic
total moment: 0.000 μB per cell
ρ: 4.8 g cm⁻³
N(E_F): 0.71 states/eV/cell

=====

Stability ranking, top and bottom: <w> is the most stable and <x> is the least stable.

=====

<w>
First-principles (PBE) data for a geometry-optimized AcMg2Al2 structure, as listed in Alexandria.

```
AcMg2Al2
1.0
4.6347 0.0000 0.0000
0.0000 4.6347 0.0000
-2.3174 -2.3174 11.8302
Al Ac Mg
4 2 4
direct
0.9308 0.9308 0.8616
0.7500 0.2500 0.5000
0.0692 0.0692 0.1384
0.2500 0.7500 0.5000
0.3707 0.3707 0.7414
0.6293 0.6293 0.2586
0.1845 0.1845 0.3691
0.0000 0.5000 0.0000
0.8155 0.8155 0.6309
0.5000 0.0000 0.0000
```

Calculated values
crystal system: tetragonal
total moment: 0.000 μB per cell
ρ: 4.3 g cm⁻³
N(E_F): 3.58 states/eV/cell

=====

<x>
First-principles (PBE) data for a geometry-optimized AcMg2Al2 structure, as listed in Alexandria.

```
AcMg2Al2
1.0
-3.8663 2.3338 -0.8960
0.2666 -1.2558 -4.4214
-1.4508 -5.4625 3.8612
Mg Ac Al
2 1 2
direct
0.7500 0.2500 0.5000
0.2500 0.7500 0.5000
0.0000 0.0000 0.0000
0.6077 0.6077 0.2153
0.3923 0.3923 0.7847
```

Calculated values
crystal system: tetragonal
total moment: 0.000 μB per cell
ρ: 4.3 g cm⁻³
N(E_F): 1.76 states/eV/cell

=====

Stability ranking, top and bottom: <x> is the most stable and <w> is the least stable.

=====

<w>
First-principles (PBE) data for a geometry-optimized NaAc2Al structure, as listed in Alexandria.

```
NaAc2Al
1.0
-0.6405 2.0192 3.6218
-4.6940 -3.1117 0.9046
3.1213 -3.9137 2.7340
Ac Na Al
2 1 1
direct
0.0000 0.0000 0.5000
0.0000 0.5000 0.0000
0.5000 0.0000 0.0000
0.5000 0.5000 0.5000
```

Calculated values
crystal system: tetragonal
total moment: 0.000 μB per cell
ρ: 6.1 g cm⁻³
N(E_F): 3.32 states/eV/cell

=====

<x>
First-principles (PBE) data for a geometry-optimized NaAc2Al structure, as listed in Alexandria.

```
NaAc2Al
1.0
-0.5131 -0.5717 3.8974
-2.9530 -2.5453 -0.7621
5.9410 -6.8270 -0.2194
Ac Al Na
2 1 1
direct
0.0000 0.0000 0.7899
0.0000 0.0000 0.2101
0.5000 0.5000 0.0000
0.5000 0.5000 0.5000
```

Calculated values
crystal system: tetragonal
total moment: 0.000 μB per cell
ρ: 5.9 g cm⁻³
N(E_F): 2.80 states/eV/cell

=====

<y>
First-principles (PBE) data for a geometry-optimized NaAc2Al structure, as listed in Alexandria.

```
NaAc2Al
1.0
3.9943 0.0000 0.0000
1.9971 3.4592 0.0000
1.9971 1.1531 11.3472
Ac Al Na
2 1 1
direct
0.7345 0.7345 0.7964
0.2655 0.2655 0.2036
0.0000 0.0000 0.0000
0.5000 0.5000 0.5000
```

Calculated values
crystal system: trigonal
total moment: 0.000 μB per cell
ρ: 5.3 g cm⁻³
N(E_F): 3.61 states/eV/cell

=====

<z>
First-principles (PBE) data for a geometry-optimized NaAc2Al structure, as listed in Alexandria.

```
NaAc2Al
1.0
-4.2237 -0.6717 -3.8496
-5.3961 -0.9100 1.7788
-3.9763 4.1074 -0.6545
Ac Na Al
2 1 1
direct
0.2500 0.2500 0.2500
0.7500 0.7500 0.7500
0.5000 0.5000 0.5000
0.0000 0.0000 0.0000
```

Calculated values
crystal system: cubic
total moment: 0.000 μB per cell
ρ: 6.2 g cm⁻³
N(E_F): 4.22 states/eV/cell

=====

Stability ranking, top and bottom: <x> is the most stable and <y> is the least stable.

=====

<w>
First-principles (PBE) data for a geometry-optimized Ac2NdAl structure, as listed in Alexandria.

```
Ac2NdAl
1.0
3.9524 0.0000 0.0000
0.0000 3.9524 0.0000
0.0000 0.0000 9.1554
Ac Al Nd
2 1 1
direct
0.0000 0.0000 0.7905
0.0000 0.0000 0.2095
0.5000 0.5000 0.0000
0.5000 0.5000 0.5000
```

Calculated values
crystal system: tetragonal
total moment: 0.000 μB per cell
ρ: 7.3 g cm⁻³
N(E_F): 3.66 states/eV/cell

=====

<x>
First-principles (PBE) data for a geometry-optimized Ac2NdAl structure, as listed in Alexandria.

```
Ac2NdAl
1.0
3.9078 0.0000 0.0000
1.9539 3.3843 0.0000
1.9539 1.1281 11.2491
Ac Al Nd
2 1 1
direct
0.2603 0.2603 0.2190
0.7397 0.7397 0.7810
0.0000 0.0000 0.0000
0.5000 0.5000 0.5000
```

Calculated values
crystal system: trigonal
total moment: 0.000 μB per cell
ρ: 7.0 g cm⁻³
N(E_F): 5.96 states/eV/cell

=====

<y>
First-principles (PBE) data for a geometry-optimized Ac2NdAl structure, as listed in Alexandria.

```
Ac2NdAl
1.0
-0.3145 -0.8755 -4.9408
-5.0584 -1.1069 0.5182
-1.1780 5.0034 -0.8116
Al Ac Nd
1 2 1
direct
0.5000 0.0000 0.0000
0.0000 0.5000 0.0000
0.0000 0.0000 0.5000
0.5000 0.5000 0.5000
```

Calculated values
crystal system: tetragonal
total moment: 0.000 μB per cell
ρ: 7.6 g cm⁻³
N(E_F): 6.22 states/eV/cell

=====

Stability ranking, top and bottom: <w> is the most stable and <x> is the least stable.

=====

<w>
First-principles (PBE) data for a geometry-optimized AcNdAlPt structure, as listed in Alexandria.

```
AcNdAlPt
1.0
-3.7672 -1.8299 -1.6559
0.0899 -4.1532 -1.7392
-2.6545 -4.5854 4.9817
Al Ac Pt Nd
1 1 1 1
direct
0.6074 0.6074 0.1779
0.8366 0.8366 0.4902
0.2633 0.2633 0.2100
0.0186 0.0186 0.9443
```

Calculated values
crystal system: trigonal
total moment: 0.153 μB per cell
ρ: 8.3 g cm⁻³
N(E_F): 5.47 states/eV/cell

=====

<x>
First-principles (PBE) data for a geometry-optimized AcNdAlPt structure, as listed in Alexandria.

```
AcNdAlPt
1.0
-0.9982 2.7845 4.4627
-3.9711 -1.5032 3.2614
1.1241 -2.1202 4.7861
Ac Al Pt Nd
1 1 1 1
direct
0.0000 0.0000 0.0000
0.7500 0.7500 0.7500
0.2500 0.2500 0.2500
0.5000 0.5000 0.5000
```

Calculated values
crystal system: cubic
total moment: 0.000 μB per cell
ρ: 9.1 g cm⁻³
N(E_F): 3.62 states/eV/cell

=====

Stability ranking, top and bottom: <w> is the most stable and <x> is the least stable.

=====

<w>
First-principles (PBE) data for a geometry-optimized AcNdAlZn structure, as listed in Alexandria.

```
AcNdAlZn
1.0
5.4223 0.0000 0.0000
2.7112 4.6959 0.0000
2.7112 1.5653 4.4273
Al Zn Ac Nd
1 1 1 1
direct
0.5000 0.5000 0.5000
0.0000 0.0000 0.0000
0.7500 0.7500 0.7500
0.2500 0.2500 0.2500
```

Calculated values
crystal system: cubic
total moment: 0.000 μB per cell
ρ: 6.8 g cm⁻³
N(E_F): 4.36 states/eV/cell

=====

<x>
First-principles (PBE) data for a geometry-optimized AcNdAlZn structure, as listed in Alexandria.

```
AcNdAlZn
1.0
3.8058 0.0000 0.0000
0.0000 3.8058 0.0000
0.0000 0.0000 7.6946
Nd Ac Al Zn
1 1 1 1
direct
0.0000 0.0000 0.3620
0.0000 0.0000 0.8569
0.5000 0.5000 0.1301
0.5000 0.5000 0.5790
```

Calculated values
crystal system: tetragonal
total moment: 0.000 μB per cell
ρ: 6.9 g cm⁻³
N(E_F): 3.75 states/eV/cell

=====

Stability ranking, top and bottom: <x> is the most stable and <w> is the least stable.

=====

<w>
First-principles (PBE) data for a geometry-optimized AcAlNi4 structure, as listed in Alexandria.

```
AcAlNi4
1.0
-1.6658 3.1379 3.6341
-0.3813 -1.6402 4.7951
3.2147 1.7240 3.5386
Ni Al Ac
4 1 1
direct
0.6274 0.6274 0.1177
0.6274 0.1177 0.6274
0.6274 0.6274 0.6274
0.1177 0.6274 0.6274
0.0000 0.0000 0.0000
0.2500 0.2500 0.2500
```

Calculated values
crystal system: cubic
total moment: 0.000 μB per cell
ρ: 8.7 g cm⁻³
N(E_F): 3.84 states/eV/cell

=====

<x>
First-principles (PBE) data for a geometry-optimized AcAlNi4 structure, as listed in Alexandria.

```
AcAlNi4
1.0
-1.0168 -3.2646 -1.7658
6.8434 -2.7626 1.1670
-2.1208 -2.6601 6.1392
Ni Ac Al
8 2 2
direct
0.0000 0.0000 0.0000
0.5000 0.2244 0.9489
0.5000 0.7756 0.4489
0.5000 0.9562 0.7500
0.5000 0.2244 0.5511
0.5000 0.7756 0.0511
0.0000 0.0000 0.5000
0.5000 0.0438 0.2500
0.0000 0.3560 0.2500
0.0000 0.6440 0.7500
0.0000 0.7938 0.2500
0.0000 0.2062 0.7500
```

Calculated values
crystal system: orthorhombic
total moment: 0.000 μB per cell
ρ: 8.0 g cm⁻³
N(E_F): 11.09 states/eV/cell

=====

Stability ranking, top and bottom: <x> is the most stable and <w> is the least stable.